*A*
# AgB3Os GGA-PBE optimized geometry
# - theoretical density (g/cm3) = 7.86
data_AgB3Os
_space_group_name_H-M_alt 'P m -3 m'
_space_group_IT_number 221
_space_group_name_Hall '-P 4 2 3'
_cell_length_a 4.118
_cell_length_b 4.118
_cell_length_c 4.118
_cell_angle_alpha 90.00
_cell_angle_beta 90.00
_cell_angle_gamma 90.00
loop_
_atom_site_label
_atom_site_fract_x
_atom_site_fract_y
_atom_site_fract_z
_atom_site_occupancy
Ag1 0.000 0.000 0.000 1
B1 0.000 0.500 0.500 1
Os1 0.500 0.500 0.500 1

***

*B*
# AgB3Os GGA-PBE optimized geometry
# - theoretical density (g/cm3) = 8.30
data_AgB3Os
_space_group_name_H-M_alt 'P m -3 m'
_space_group_IT_number 221
_space_group_name_Hall '-P 4 2 3'
_cell_length_a 4.044
_cell_length_b 4.044
_cell_length_c 4.044
_cell_angle_alpha 90.00
_cell_angle_beta 90.00
_cell_angle_gamma 90.00
loop_
_atom_site_label
_atom_site_fract_x
_atom_site_fract_y
_atom_site_fract_z
_atom_site_occupancy
Ag1 0.000 0.000 0.000 1
B1 0.000 0.000 0.500 1
Os1 0.500 0.500 0.500 1

***

Energy ordering: *A* at the bottom, the next structure 1687 meV/atom above.

***

*A*
# AgB3P GGA-PBE optimized geometry
# - theoretical density (g/cm3) = 4.69
data_AgB3P
_space_group_name_H-M_alt 'P m -3 m'
_space_group_IT_number 221
_space_group_name_Hall '-P 4 2 3'
_cell_length_a 3.930
_cell_length_b 3.930
_cell_length_c 3.930
_cell_angle_alpha 90.00
_cell_angle_beta 90.00
_cell_angle_gamma 90.00
loop_
_atom_site_label
_atom_site_fract_x
_atom_site_fract_y
_atom_site_fract_z
_atom_site_occupancy
Ag1 0.000 0.000 0.000 1
B1 0.000 0.500 0.500 1
P1 0.500 0.500 0.500 1

***

*B*
# AgB3P GGA-PBE optimized geometry
# - theoretical density (g/cm3) = 3.82
data_AgB3P
_space_group_name_H-M_alt 'P m -3 m'
_space_group_IT_number 221
_space_group_name_Hall '-P 4 2 3'
_cell_length_a 4.208
_cell_length_b 4.208
_cell_length_c 4.208
_cell_angle_alpha 90.00
_cell_angle_beta 90.00
_cell_angle_gamma 90.00
loop_
_atom_site_label
_atom_site_fract_x
_atom_site_fract_y
_atom_site_fract_z
_atom_site_occupancy
Ag1 0.000 0.000 0.000 1
B1 0.000 0.000 0.500 1
P1 0.500 0.500 0.500 1

***

Energy ordering: *A* at the bottom, the next structure 780 meV/atom above.

***

*A*
# AgBPb3 GGA-PBE optimized geometry
# - theoretical density (g/cm3) = 7.43
data_AgBPb3
_space_group_name_H-M_alt 'P m -3 m'
_space_group_IT_number 221
_space_group_name_Hall '-P 4 2 3'
_cell_length_a 5.490
_cell_length_b 5.490
_cell_length_c 5.490
_cell_angle_alpha 90.00
_cell_angle_beta 90.00
_cell_angle_gamma 90.00
loop_
_atom_site_label
_atom_site_fract_x
_atom_site_fract_y
_atom_site_fract_z
_atom_site_occupancy
Ag1 0.000 0.000 0.000 1
B1 0.500 0.500 0.500 1
Pb1 0.000 0.000 0.500 1

***

*B*
# AgBPb3 GGA-PBE optimized geometry
# - theoretical density (g/cm3) = 9.36
data_AgBPb3
_space_group_name_H-M_alt 'P m -3 m'
_space_group_IT_number 221
_space_group_name_Hall '-P 4 2 3'
_cell_length_a 5.083
_cell_length_b 5.083
_cell_length_c 5.083
_cell_angle_alpha 90.00
_cell_angle_beta 90.00
_cell_angle_gamma 90.00
loop_
_atom_site_label
_atom_site_fract_x
_atom_site_fract_y
_atom_site_fract_z
_atom_site_occupancy
Ag1 0.000 0.000 0.000 1
B1 0.500 0.500 0.500 1
Pb1 0.000 0.500 0.500 1

***

Energy ordering: *B* at the bottom, the next structure 610 meV/atom above.